## Rb2TiOs (PBE)

Data for crystalline Rb2TiOs at its relaxed geometry.

Properties
Energy relative to the elements: 9.3 eV per formula unit
V: 27.6 Å³ per atom
Magnetization: 0.00 μB per formula unit
N(E_F): 37.80 states/eV/cell
E: -47.2 eV/cell

The structure in CIF format:
```
data_Rb2TiOs
_chemical_formula_sum 'Rb8 Ti4 Os4'
_cell_length_a 7.616
_cell_length_b 7.616
_cell_length_c 7.616
_cell_angle_alpha 90.00
_cell_angle_beta 90.00
_cell_angle_gamma 90.00
_symmetry_space_group_name_H-M 'F m -3 m'
_symmetry_Int_Tables_number 225
_symmetry_space_group_name_Hall '-F 4 2 3'
loop_
_atom_site_label
_atom_site_fract_x
_atom_site_fract_y
_atom_site_fract_z
Rb1 0.250 0.250 0.250
Ti1 0.000 0.000 0.000
Os1 0.000 0.000 0.500
```